BaY2Zn | PBE | optimized geometry

The space group is I-4m2 (No. 119) and the conventional cell measures 4.987, 4.987 and 10.052 Å, with angles of 90.00, 90.00 and 90.00 degrees. Symmetry generates all atoms from Ba at (0.000, 0.000, 0.000), Y at (0.000, 0.000, 0.500), Y at (0.000, 0.500, 0.750) and Zn at (0.000, 0.500, 0.250).

For the volume, the calculation gives 249.96 Å³ per cell. Its crystal system is tetragonal. The calculation puts the formation energy at 217 meV per atom. Its density of states at the Fermi level is 5.650 states/eV/f.u.

=====

Ba2YZn2 | PBE | optimized geometry

The space group is P4/mbm (No. 127) and the conventional cell measures 8.919, 8.919 and 4.375 Å, with angles of 90.00, 90.00 and 90.00 degrees. Symmetry generates all atoms from Ba at (0.164, 0.336, 0.000), Y at (0.000, 0.000, 0.500) and Zn at (0.135, 0.635, 0.500).

For the volume, the calculation gives 347.96 Å³ per cell. Its crystal system is tetragonal. The calculation puts the formation energy at 21 meV per atom. Its density of states at the Fermi level is 6.759 states/eV/f.u.